# 1
A relaxed structure of ZrTlFeAg. Source: the Open Quantum Materials Database, functional PBE.

Lattice parameters (Å, degrees): 4.697 4.697 4.697 60.00 60.00 60.00
Atoms (fractional coordinates):
Zr 0.000 0.000 0.000
Tl 0.250 0.250 0.250
Fe 0.500 0.500 0.500
Ag 0.750 0.750 0.750

Total DFT energy (no corrections) ... -5.2483 eV/atom
Polymorph energy (0 for the lowest one) ... 75.2 meV/atom



# 2
A relaxed structure of ZrTlFeAg. Source: the Open Quantum Materials Database, functional PBE.

Lattice parameters (Å, degrees): 4.728 4.728 4.728 60.00 60.00 60.00
Atoms (fractional coordinates):
Zr 0.000 0.000 0.000
Tl 0.500 0.500 0.500
Fe 0.750 0.750 0.750
Ag 0.250 0.250 0.250

Total DFT energy (no corrections) ... -5.3236 eV/atom
Polymorph energy (0 for the lowest one) ... 0.0 meV/atom



# 3
A relaxed structure of TmFeAg. Source: the Open Quantum Materials Database, functional PBE.

Lattice parameters (Å, degrees): 4.633 4.633 4.633 60.00 60.00 60.00
Atoms (fractional coordinates):
Tm 0.000 0.000 0.000
Fe 0.250 0.250 0.250
Ag 0.750 0.750 0.750

Total DFT energy (no corrections) ... -4.4248 eV/atom
ΔE_f ... 0.7779 eV/atom



# 4
A relaxed structure of UFeAg. Source: the Open Quantum Materials Database, functional PBE.

Lattice parameters (Å, degrees): 4.349 4.349 4.349 60.00 60.00 60.00
Atoms (fractional coordinates):
U 0.000 0.000 0.000
Fe 0.250 0.250 0.250
Ag 0.500 0.500 0.500

Total DFT energy (no corrections) ... -6.7960 eV/atom
ΔE_f ... 0.6805 eV/atom
Polymorph energy (0 for the lowest one) ... 0.0 meV/atom



# 5
A relaxed structure of UFeAg. Source: the Open Quantum Materials Database, functional PBE.

Lattice parameters (Å, degrees): 4.493 4.493 4.493 60.00 60.00 60.00
Atoms (fractional coordinates):
U 0.000 0.000 0.000
Fe 0.250 0.250 0.250
Ag 0.750 0.750 0.750

Total DFT energy (no corrections) ... -6.2709 eV/atom
ΔE_f ... 1.2056 eV/atom
Polymorph energy (0 for the lowest one) ... 525.1 meV/atom



# 6
A relaxed structure of Zn2FeAg. Source: the Open Quantum Materials Database, functional PBE.

Lattice parameters (Å, degrees): 4.348 4.348 4.348 60.00 60.00 60.00
Atoms (fractional coordinates):
Zn 0.250 0.250 0.250
Zn 0.750 0.750 0.750
Fe 0.000 0.000 0.000
Ag 0.500 0.500 0.500

Total DFT energy (no corrections) ... -3.2763 eV/atom
ΔE_f ... 0.1393 eV/atom
Polymorph energy (0 for the lowest one) ... 0.0 meV/atom



# 7
A relaxed structure of ZrFeAg2. Source: the Open Quantum Materials Database, functional PBE.

Lattice parameters (Å, degrees): 4.573 4.573 4.573 60.00 60.00 60.00
Atoms (fractional coordinates):
Zr 0.000 0.000 0.000
Fe 0.750 0.750 0.750
Ag 0.250 0.250 0.250
Ag 0.500 0.500 0.500

Total DFT energy (no corrections) ... -5.4245 eV/atom
ΔE_f ... 0.2016 eV/atom



# 8
A relaxed structure of Ga11Ag3. Source: the Open Quantum Materials Database, functional PBE.

Lattice parameters (Å, degrees): 7.069 7.069 6.567 109.11 109.11 67.35
Atoms (fractional coordinates):
Ga 0.000 0.000 0.000
Ga 0.176 0.517 0.127
Ga 0.245 0.858 0.403
Ga 0.342 0.777 0.825
Ga 0.373 0.373 0.773
Ga 0.517 0.176 0.127
Ga 0.572 0.950 0.698
Ga 0.777 0.342 0.825
Ga 0.777 0.777 0.085
Ga 0.858 0.245 0.403
Ga 0.950 0.572 0.698
Ag 0.228 0.228 0.341
Ag 0.585 0.585 0.212
Ag 0.900 0.900 0.537

Total DFT energy (no corrections) ... -2.9154 eV/atom



# 9
A relaxed structure of GaAg9. Source: the Open Quantum Materials Database, functional PBE.

Lattice parameters (Å, degrees): 2.920 2.920 55.412 90.00 90.00 90.00
Atoms (fractional coordinates):
Ga 0.250 0.250 0.141
Ga 0.750 0.750 0.859
Ag 0.250 0.250 0.218
Ag 0.250 0.250 0.294
Ag 0.250 0.250 0.369
Ag 0.250 0.250 0.444
Ag 0.250 0.250 0.519
Ag 0.250 0.250 0.593
Ag 0.250 0.250 0.668
Ag 0.250 0.250 0.744
Ag 0.250 0.250 0.820
Ag 0.750 0.750 0.180
Ag 0.750 0.750 0.256
Ag 0.750 0.750 0.332
Ag 0.750 0.750 0.407
Ag 0.750 0.750 0.481
Ag 0.750 0.750 0.556
Ag 0.750 0.750 0.631
Ag 0.750 0.750 0.706
Ag 0.750 0.750 0.782

Total DFT energy (no corrections) ... -2.8138 eV/atom
Polymorph energy (0 for the lowest one) ... 0.0 meV/atom



# 10
A relaxed structure of GaAg9. Source: the Open Quantum Materials Database, functional PBE.

Lattice parameters (Å, degrees): 2.916 4.162 43.681 90.00 90.00 90.00
Atoms (fractional coordinates):
Ga 0.250 0.250 0.180
Ga 0.750 0.750 0.820
Ag 0.250 0.250 0.246
Ag 0.250 0.250 0.313
Ag 0.250 0.250 0.381
Ag 0.250 0.250 0.449
Ag 0.250 0.250 0.517
Ag 0.250 0.250 0.585
Ag 0.250 0.250 0.652
Ag 0.250 0.250 0.721
Ag 0.250 0.250 0.790
Ag 0.750 0.750 0.210
Ag 0.750 0.750 0.279
Ag 0.750 0.750 0.348
Ag 0.750 0.750 0.415
Ag 0.750 0.750 0.483
Ag 0.750 0.750 0.551
Ag 0.750 0.750 0.619
Ag 0.750 0.750 0.687
Ag 0.750 0.750 0.754

Total DFT energy (no corrections) ... -2.8048 eV/atom
Polymorph energy (0 for the lowest one) ... 9.0 meV/atom



# 11
A relaxed structure of Ga2Ag9. Source: the Open Quantum Materials Database, functional PBE.

Lattice parameters (Å, degrees): 2.917 2.917 35.098 90.00 90.00 120.00
Atoms (fractional coordinates):
Ga 0.333 0.667 0.346
Ga 0.667 0.333 0.654
Ag 0.000 0.000 0.000
Ag 0.000 0.000 0.207
Ag 0.000 0.000 0.793
Ag 0.333 0.667 0.138
Ag 0.333 0.667 0.723
Ag 0.333 0.667 0.931
Ag 0.667 0.333 0.069
Ag 0.667 0.333 0.277
Ag 0.667 0.333 0.862

Total DFT energy (no corrections) ... -2.8284 eV/atom



# 12
A relaxed structure of GdGa2Ag. Source: the Open Quantum Materials Database, functional PBE.

Lattice parameters (Å, degrees): 9.981 9.981 4.061 90.00 90.00 155.56
Atoms (fractional coordinates):
Gd 0.151 0.849 0.000
Gd 0.849 0.151 0.000
Ga 0.000 0.000 0.500
Ga 0.282 0.718 0.500
Ga 0.500 0.500 0.000
Ga 0.718 0.282 0.500
Ag 0.412 0.588 0.500
Ag 0.588 0.412 0.500

Total DFT energy (no corrections) ... -3.8026 eV/atom



# 13
A relaxed structure of GdHo2Ga3AgPd2. Source: the Open Quantum Materials Database, functional PBE.

Lattice parameters (Å, degrees): 3.718 7.543 7.543 120.13 90.00 90.00
Atoms (fractional coordinates):
Gd 0.000 0.000 0.000
Ho 0.000 0.408 0.816
Ho 0.000 0.816 0.408
Ga 0.500 0.138 0.409
Ga 0.500 0.409 0.138
Ga 0.500 0.677 0.677
Ag 0.000 0.409 0.409
Pd 0.500 0.076 0.739
Pd 0.500 0.739 0.076

Total DFT energy (no corrections) ... -4.7548 eV/atom



# 14
A relaxed structure of GdY2Ga3AgIr2. Source: the Open Quantum Materials Database, functional PBE.

Lattice parameters (Å, degrees): 3.897 7.323 7.323 120.01 90.00 90.00
Atoms (fractional coordinates):
Gd 0.000 0.000 0.000
Y 0.000 0.180 0.589
Y 0.000 0.589 0.180
Ga 0.500 0.319 0.319
Ga 0.500 0.588 0.861
Ga 0.500 0.861 0.588
Ag 0.000 0.589 0.589
Ir 0.500 0.255 0.923
Ir 0.500 0.923 0.255

Total DFT energy (no corrections) ... -5.9466 eV/atom



# 15
A relaxed structure of Nd2GdGa3AgPt2. Source: the Open Quantum Materials Database, functional PBE.

Lattice parameters (Å, degrees): 3.920 7.534 7.534 119.87 90.00 90.00
Atoms (fractional coordinates):
Nd 0.000 0.206 0.794
Nd 0.000 0.794 0.206
Gd 0.000 0.618 0.618
Ga 0.500 0.209 0.470
Ga 0.500 0.470 0.209
Ga 0.500 0.940 0.940
Ag 0.000 0.209 0.209
Pt 0.500 0.541 0.867
Pt 0.500 0.867 0.541

Total DFT energy (no corrections) ... -5.0839 eV/atom



# 16
A relaxed structure of GdGaAg2O4. Source: the Open Quantum Materials Database, functional PBE.

Lattice parameters (Å, degrees): 3.266 3.266 12.591 90.00 90.00 120.00
Atoms (fractional coordinates):
Gd 0.000 0.000 0.000
Ga 0.000 0.000 0.500
Ag 0.333 0.667 0.740
Ag 0.667 0.333 0.260
O 0.333 0.667 0.573
O 0.333 0.667 0.904
O 0.667 0.333 0.096
O 0.667 0.333 0.427

Total DFT energy (no corrections) ... -5.7448 eV/atom



# 17
A relaxed structure of Pr2GdGa3AgPt2. Source: the Open Quantum Materials Database, functional PBE.

Lattice parameters (Å, degrees): 3.944 7.559 7.559 119.90 90.00 90.00
Atoms (fractional coordinates):
Pr 0.000 0.206 0.794
Pr 0.000 0.794 0.206
Gd 0.000 0.619 0.619
Ga 0.500 0.211 0.469
Ga 0.500 0.469 0.211
Ga 0.500 0.942 0.942
Ag 0.000 0.211 0.211
Pt 0.500 0.543 0.866
Pt 0.500 0.866 0.543

Total DFT energy (no corrections) ... -5.0733 eV/atom



# 18
A relaxed structure of TbGd2Ga3AgPt2. Source: the Open Quantum Materials Database, functional PBE.

Lattice parameters (Å, degrees): 3.839 7.467 7.467 119.95 90.00 90.00
Atoms (fractional coordinates):
Tb 0.000 0.000 0.000
Gd 0.000 0.409 0.819
Gd 0.000 0.819 0.409
Ga 0.500 0.142 0.409
Ga 0.500 0.409 0.142
Ga 0.500 0.677 0.677
Ag 0.000 0.409 0.409
Pt 0.500 0.076 0.744
Pt 0.500 0.744 0.076

Total DFT energy (no corrections) ... -5.0991 eV/atom



# 19
A relaxed structure of GdTmGa2Ag2. Source: the Open Quantum Materials Database, functional PBE.

Lattice parameters (Å, degrees): 4.593 4.593 6.977 90.00 90.00 120.00
Atoms (fractional coordinates):
Gd 0.000 0.000 0.000
Tm 0.000 0.000 0.500
Ga 0.333 0.667 0.224
Ga 0.333 0.667 0.776
Ag 0.667 0.333 0.270
Ag 0.667 0.333 0.730

Total DFT energy (no corrections) ... -3.9719 eV/atom
Polymorph energy (0 for the lowest one) ... 2.7 meV/atom



# 20
A relaxed structure of GdTmGa2Ag2. Source: the Open Quantum Materials Database, functional PBE.

Lattice parameters (Å, degrees): 4.589 4.589 6.994 90.00 90.00 120.00
Atoms (fractional coordinates):
Gd 0.000 0.000 0.000
Tm 0.000 0.000 0.500
Ga 0.333 0.667 0.287
Ga 0.333 0.667 0.713
Ag 0.667 0.333 0.249
Ag 0.667 0.333 0.751

Total DFT energy (no corrections) ... -3.9746 eV/atom
Polymorph energy (0 for the lowest one) ... 0.0 meV/atom